No. 1
A plane-wave DFT calculation with PBE was carried out for PrSm2Al2In2 after structural relaxation.

a b c (Å): 10.137 10.137 10.137
angles (deg): 26.97 26.97 26.97
Fractional positions:
Pr (0.000, 0.000, 0.000)
Sm (0.130, 0.130, 0.130)
Sm (0.870, 0.870, 0.870)
Al (0.401, 0.401, 0.401)
Al (0.599, 0.599, 0.599)
In (0.259, 0.259, 0.259)
In (0.741, 0.741, 0.741)

Computed properties:
The calculation puts the formation energy at -0.28 eV per atom.



No. 2
A plane-wave DFT calculation with PBE was carried out for LiSc2Ag after structural relaxation.

a b c (Å): 10.187 10.187 10.187
angles (deg): 17.84 17.84 17.84
Fractional positions:
Li (0.000, 0.000, 0.000)
Sc (0.246, 0.246, 0.246)
Sc (0.754, 0.754, 0.754)
Ag (0.500, 0.500, 0.500)

Computed properties:
The calculation puts the formation energy at 0.09 eV per atom.



No. 3
A plane-wave DFT calculation with PBE was carried out for Pm12Y3Tl after structural relaxation.

a b c (Å): 5.067 5.067 20.615
angles (deg): 90.00 90.00 90.00
Fractional positions:
Pm (0.000, 0.000, 0.000)
Pm (0.000, 0.000, 0.246)
Pm (0.000, 0.000, 0.500)
Pm (0.000, 0.000, 0.754)
Pm (0.000, 0.500, 0.121)
Pm (0.000, 0.500, 0.374)
Pm (0.000, 0.500, 0.626)
Pm (0.000, 0.500, 0.879)
Pm (0.500, 0.000, 0.121)
Pm (0.500, 0.000, 0.374)
Pm (0.500, 0.000, 0.626)
Pm (0.500, 0.000, 0.879)
Y (0.500, 0.500, 0.248)
Y (0.500, 0.500, 0.500)
Y (0.500, 0.500, 0.752)
Tl (0.500, 0.500, 0.000)

Computed properties:
The calculation puts the formation energy at -0.03 eV per atom.



No. 4
A plane-wave DFT calculation with PBE was carried out for BaNa2In after structural relaxation.

a b c (Å): 5.272 5.272 5.516
angles (deg): 90.00 90.00 90.00
Fractional positions:
Ba (0.000, 0.000, 0.000)
Na (0.000, 0.500, 0.500)
Na (0.500, 0.000, 0.500)
In (0.500, 0.500, 0.000)

Computed properties:
The calculation puts the formation energy at -0.05 eV per atom.



No. 5
A plane-wave DFT calculation with PBE was carried out for Sr2In2Re after structural relaxation.

a b c (Å): 10.444 10.444 10.444
angles (deg): 157.89 157.89 31.47
Fractional positions:
Sr (0.091, 0.091, 0.000)
Sr (0.909, 0.909, 0.000)
In (0.250, 0.750, 0.500)
In (0.750, 0.250, 0.500)
Re (0.500, 0.500, 0.000)

Computed properties:
The calculation puts the formation energy at 0.72 eV per atom. The calculation puts the energy above the most stable polymorph in this dataset at 0.0000 eV/atom.



No. 6
A plane-wave DFT calculation with PBE was carried out for Mn2PdPt2 after structural relaxation.

a b c (Å): 7.250 7.250 2.701
angles (deg): 90.00 90.00 90.00
Fractional positions:
Mn (0.108, 0.392, 0.000)
Mn (0.392, 0.892, 0.000)
Mn (0.608, 0.108, 0.000)
Mn (0.892, 0.608, 0.000)
Pd (0.000, 0.000, 0.000)
Pd (0.500, 0.500, 0.000)
Pt (0.182, 0.682, 0.500)
Pt (0.318, 0.182, 0.500)
Pt (0.682, 0.818, 0.500)
Pt (0.818, 0.318, 0.500)

Computed properties:
The calculation puts the formation energy at 0.10 eV per atom. The calculation puts the energy above the most stable polymorph in this dataset at 0.2910 eV/atom.



No. 7
A plane-wave DFT calculation with PBE was carried out for KBiPd2Pb after structural relaxation.

a b c (Å): 7.112 4.735 9.452
angles (deg): 90.00 104.05 90.00
Fractional positions:
K (0.204, 0.250, 0.264)
K (0.796, 0.750, 0.736)
Bi (0.281, 0.750, 0.611)
Bi (0.719, 0.250, 0.389)
Pd (0.081, 0.250, 0.582)
Pd (0.420, 0.750, 0.915)
Pd (0.580, 0.250, 0.085)
Pd (0.919, 0.750, 0.418)
Pb (0.214, 0.250, 0.889)
Pb (0.786, 0.750, 0.111)

Computed properties:
The calculation puts the formation energy at -0.24 eV per atom.



No. 8
A plane-wave DFT calculation with PBE was carried out for HfB2TeRu after structural relaxation.

a b c (Å): 4.125 4.125 5.283
angles (deg): 90.00 90.00 90.00
Fractional positions:
Hf (0.000, 0.000, 0.000)
B (0.000, 0.500, 0.500)
B (0.500, 0.000, 0.500)
Te (0.500, 0.500, 0.000)
Ru (0.000, 0.000, 0.500)

Computed properties:
For the formation energy without anion corrections, the calculation gives 483 meV/atom.



No. 9
A plane-wave DFT calculation with PBE was carried out for TiAu after structural relaxation.

a b c (Å): 5.304 5.304 5.429
angles (deg): 90.00 90.00 90.00
Fractional positions:
Ti (0.187, 0.187, 0.000)
Ti (0.313, 0.687, 0.500)
Ti (0.687, 0.313, 0.500)
Ti (0.813, 0.813, 0.000)
Au (0.189, 0.189, 0.500)
Au (0.311, 0.689, 0.000)
Au (0.689, 0.311, 0.000)
Au (0.811, 0.811, 0.500)

Computed properties:
The calculation puts the formation energy at -0.05 eV per atom.



No. 10
A plane-wave DFT calculation with PBE was carried out for MgBi2H2Pd7 after structural relaxation.

a b c (Å): 4.057 4.057 11.601
angles (deg): 99.98 99.98 90.00
Fractional positions:
Mg (0.000, 0.000, 0.000)
Bi (0.193, 0.193, 0.386)
Bi (0.807, 0.807, 0.614)
H (0.416, 0.416, 0.833)
H (0.584, 0.584, 0.167)
Pd (0.089, 0.589, 0.178)
Pd (0.322, 0.322, 0.642)
Pd (0.411, 0.911, 0.822)
Pd (0.500, 0.500, 0.000)
Pd (0.589, 0.089, 0.178)
Pd (0.678, 0.678, 0.358)
Pd (0.911, 0.411, 0.822)

Computed properties:
The total energy comes out at -4.70 eV per atom.



No. 11
A plane-wave DFT calculation with PBE was carried out for CePm4N4 after structural relaxation.

a b c (Å): 6.957 6.957 6.957
angles (deg): 130.36 130.36 72.83
Fractional positions:
Ce (0.000, 0.000, 0.000)
Pm (0.000, 0.500, 0.500)
Pm (0.282, 0.282, 0.000)
Pm (0.500, 0.000, 0.500)
Pm (0.718, 0.718, 0.000)
N (0.112, 0.643, 0.000)
N (0.357, 0.357, 0.469)
N (0.643, 0.112, 0.000)
N (0.888, 0.888, 0.531)

Computed properties:
For the formation energy without anion corrections, the calculation gives -749 meV/atom. The calculation puts the energy above the most stable polymorph in this dataset at 0.5432 eV/atom.



No. 12
A plane-wave DFT calculation with PBE was carried out for PmB2Ru after structural relaxation.

a b c (Å): 6.017 5.420 6.470
angles (deg): 90.00 90.00 90.00
Fractional positions:
Pm (0.008, 0.250, 0.159)
Pm (0.492, 0.750, 0.659)
Pm (0.508, 0.250, 0.341)
Pm (0.992, 0.750, 0.841)
B (0.123, 0.587, 0.458)
B (0.123, 0.913, 0.458)
B (0.377, 0.087, 0.958)
B (0.377, 0.413, 0.958)
B (0.623, 0.587, 0.042)
B (0.623, 0.913, 0.042)
B (0.877, 0.087, 0.542)
B (0.877, 0.413, 0.542)
Ru (0.185, 0.250, 0.683)
Ru (0.315, 0.750, 0.183)
Ru (0.685, 0.250, 0.817)
Ru (0.815, 0.750, 0.317)

Computed properties:
The calculation puts the formation energy at -0.48 eV per atom. The calculation puts the energy above the most stable polymorph in this dataset at 0.0000 eV/atom.



No. 13
A plane-wave DFT calculation with PBE was carried out for Y2WBr after structural relaxation.

a b c (Å): 5.080 5.080 5.080
angles (deg): 60.00 60.00 60.00
Fractional positions:
Y (0.000, 0.000, 0.000)
Y (0.250, 0.250, 0.250)
W (0.500, 0.500, 0.500)
Br (0.750, 0.750, 0.750)

Computed properties:
For the formation energy without anion corrections, the calculation gives 778 meV/atom. The calculation puts the energy above the most stable polymorph in this dataset at 0.9675 eV/atom.



No. 14
A plane-wave DFT calculation with PBE was carried out for Hg2TeI after structural relaxation.

a b c (Å): 8.140 8.140 8.140
angles (deg): 31.54 31.54 31.54
Fractional positions:
Hg (0.000, 0.000, 0.000)
Hg (0.191, 0.191, 0.191)
Te (0.593, 0.593, 0.593)
I (0.769, 0.769, 0.769)

Computed properties:
For the formation energy without anion corrections, the calculation gives -45 meV/atom. The calculation puts the energy above the most stable polymorph in this dataset at 0.1222 eV/atom.



No. 15
A plane-wave DFT calculation with PBE was carried out for Ho4Te2PN after structural relaxation.

a b c (Å): 6.807 3.924 7.308
angles (deg): 90.00 108.04 90.00
Fractional positions:
Ho (0.213, 0.000, 0.192)
Ho (0.242, 0.500, 0.804)
Ho (0.758, 0.500, 0.196)
Ho (0.787, 0.000, 0.808)
Te (0.000, 0.000, 0.500)
Te (0.500, 0.500, 0.500)
P (0.500, 0.000, 0.000)
N (0.000, 0.500, 0.000)

Computed properties:
For the formation energy without anion corrections, the calculation gives -1419 meV/atom.



No. 16
A plane-wave DFT calculation with PBE was carried out for CsCaZnTe after structural relaxation.

a b c (Å): 4.384 4.450 8.424
angles (deg): 90.00 90.00 90.00
Fractional positions:
Cs (0.000, 0.000, 0.000)
Ca (0.000, 0.500, 0.524)
Zn (0.500, 0.500, 0.255)
Te (0.500, 0.000, 0.604)

Computed properties:
For the formation energy without anion corrections, the calculation gives -575 meV/atom. The calculation puts the energy above the most stable polymorph in this dataset at 0.0904 eV/atom.